# NiIr2OsRu4

A geometry-optimized NiIr2OsRu4 structure (PBE-GGA, Alexandria via LeMat-Bulk).

As for the total energy: -63.2 eV/f.u. Its density of states at the Fermi level is 1.634 states/eV/atom. The spin magnetization is 0.0 μB/f.u.

The structure belongs to space group P2/m (No. 10); the cell edges are 5.865, 3.496 and 6.574 Å and the angles 90.00°, 108.27° and 90.00°. Symmetry generates all atoms from Ni at (0.000, 0.000, 0.000), Ir at (0.500, 0.000, 0.500), Ir at (0.500, 0.500, 0.000), Os at (0.000, 0.500, 0.500), Ru at (0.237, 0.000, 0.746) and Ru at (0.244, 0.500, 0.254).